Material: Cu2SiW2
Method: DFT, GGA-PBE
State: optimized geometry

Output
* space-group type: I4/mmm (139)
* total magnetic moment: 0.000 μB/cell
* crystal system: tetragonal
* raw formation energy: 0.85 eV per atom
* D(E_F): 3.1 states/eV/f.u.
* distance to the lowest polymorph of the same formula: 469 meV/atom

Unit cell a=6.8331 b=6.8331 c=6.8331 alpha=149.53 beta=149.53 gamma=43.63
Last column: nearest neighbours and their distance in Å.
Atoms (fractional coordinates):
Cu  0.0920  0.0920  0.0000  1 Cu 2.34
Cu  0.9080  0.9080  0.0000  1 Cu 2.34
Si  0.5000  0.5000  0.0000  8 Cu 2.79
W  0.2500  0.7500  0.5000  4 W 2.54, 4 Cu 2.69
W  0.7500  0.2500  0.5000  4 W 2.54, 4 Cu 2.69

***

Material: Cu2SiW
Method: DFT, GGA-PBE
State: optimized geometry

Output
* space-group type: P4/mmm (123)
* total magnetic moment: 0.000 μB/cell
* crystal system: tetragonal
* raw formation energy: 0.09 eV per atom
* D(E_F): 1.3 states/eV/f.u.

Unit cell a=3.6413 b=3.6413 c=3.9577 alpha=90.00 beta=90.00 gamma=90.00
Last column: nearest neighbours and their distance in Å.
Atoms (fractional coordinates):
Cu  0.0000  0.5000  0.0000  4 Cu 2.57, 4 W 2.69, 4 Si 2.69
Cu  0.5000  0.0000  0.0000  4 Cu 2.57, 4 W 2.69, 4 Si 2.69
Si  0.0000  0.0000  0.5000  4 W 2.57, 8 Cu 2.69
W  0.5000  0.5000  0.5000  4 Si 2.57, 8 Cu 2.69

***

Material: CuSi2W
Method: DFT, GGA-PBE
State: optimized geometry

Output
* space-group type: Cmm2 (35)
* total magnetic moment: 0.000 μB/cell
* crystal system: orthorhombic
* raw formation energy: 0.29 eV per atom
* D(E_F): 0.9 states/eV/f.u.
* distance to the lowest polymorph of the same formula: 307 meV/atom

Unit cell a=2.6720 b=2.6720 c=7.8789 alpha=90.00 beta=90.00 gamma=93.00
Last column: nearest neighbours and their distance in Å.
Atoms (fractional coordinates):
Cu  0.0000  0.0000  0.0000  4 Si 2.53-2.61, 4 Cu 2.67, 4 W 2.74-2.80
Si  0.0000  0.0000  0.5100  8 Si 2.67-2.87, 4 W 2.71-2.78
Si  0.5000  0.5000  0.7789  4 Cu 2.53-2.61, 6 Si 2.67-2.81
W  0.5000  0.5000  0.2569  4 W 2.67, 4 Si 2.71-2.78, 4 Cu 2.74-2.80

***

Material: Cu2SiW
Method: DFT, GGA-PBE
State: optimized geometry

Output
* space-group type: Cmmm (65)
* total magnetic moment: 0.000 μB/cell
* crystal system: orthorhombic
* raw formation energy: 0.25 eV per atom
* D(E_F): 1.3 states/eV/f.u.

Unit cell a=2.6400 b=2.6400 c=7.8327 alpha=90.00 beta=90.00 gamma=95.51
Last column: nearest neighbours and their distance in Å.
Atoms (fractional coordinates):
Cu  0.0000  0.0000  0.2348  4 Si 2.56-2.68, 4 Cu 2.64, 4 W 2.73-2.85
Cu  0.0000  0.0000  0.7652  4 Si 2.56-2.68, 4 Cu 2.64, 4 W 2.73-2.85
Si  0.5000  0.5000  0.0000  8 Cu 2.56-2.68, 4 Si 2.64
W  0.5000  0.5000  0.5000  4 W 2.64, 8 Cu 2.73-2.85

***

Material: CuSi2W
Method: DFT, GGA-PBE
State: optimized geometry

Output
* space-group type: P4/mmm (123)
* total magnetic moment: 0.000 μB/cell
* crystal system: tetragonal
* raw formation energy: 0.32 eV per atom
* D(E_F): 2.4 states/eV/f.u.
* distance to the lowest polymorph of the same formula: 338 meV/atom

Unit cell a=2.6873 b=2.6873 c=7.7601 alpha=90.00 beta=90.00 gamma=90.00
Last column: nearest neighbours and their distance in Å.
Atoms (fractional coordinates):
Cu  0.0000  0.0000  0.0000  4 Cu 2.69, 8 Si 2.69
Si  0.5000  0.5000  0.2454  4 Si 2.69, 4 Cu 2.69, 4 W 2.74
Si  0.5000  0.5000  0.7546  4 Si 2.69, 4 Cu 2.69, 4 W 2.74
W  0.0000  0.0000  0.5000  4 W 2.69, 8 Si 2.74

***

Material: CuSiW2
Method: DFT, GGA-PBE
State: optimized geometry

Output
* space-group type: Cm (8)
* total magnetic moment: 0.000 μB/cell
* crystal system: monoclinic
* raw formation energy: 0.16 eV per atom
* D(E_F): 2.9 states/eV/f.u.

Unit cell a=4.9120 b=4.9120 c=4.5639 alpha=107.37 beta=107.37 gamma=32.59
Last column: nearest neighbours and their distance in Å.
Atoms (fractional coordinates):
Cu  0.0000  0.0000  0.0000  2 Si 2.46, 7 W 2.64-2.70, 2 Cu 2.76
Si  0.7123  0.7123  0.2994  2 Cu 2.46, 7 W 2.61-2.74, 2 Si 2.76
W  0.2488  0.2488  0.8279  3 Cu 2.64-2.70, 4 Si 2.67-2.71, 3 W 2.76-2.92
W  0.4600  0.4600  0.4772  3 Si 2.61-2.74, 4 Cu 2.68-2.70, 3 W 2.76-2.92

***

Material: Cu2SiW
Method: DFT, GGA-PBE
State: optimized geometry

Output
* space-group type: Pm (6)
* total magnetic moment: 0.000 μB/cell
* crystal system: monoclinic
* raw formation energy: 0.10 eV per atom
* D(E_F): 2.3 states/eV/f.u.

Unit cell a=2.6812 b=3.9168 c=5.2486 alpha=90.00 beta=104.76 gamma=90.00
Last column: nearest neighbours and their distance in Å.
Atoms (fractional coordinates):
Cu  0.0000  0.0000  0.0000  2 Si 2.43, 6 Cu 2.59-2.68, 1 W 2.60
Cu  0.3973  0.5000  0.7970  6 Cu 2.59-2.68, 3 Si 2.61-2.81, 4 W 2.85
Si  0.1389  0.5000  0.2824  3 Cu 2.43-2.61, 4 W 2.59, 2 Si 2.68
W  0.7420  0.0000  0.4869  4 Si 2.59, 7 Cu 2.60-2.85, 2 W 2.68

***

Material: CuSi2W
Method: DFT, GGA-PBE
State: optimized geometry

Output
* space-group type: Pmmm (47)
* total magnetic moment: 0.000 μB/cell
* crystal system: orthorhombic
* raw formation energy: 0.14 eV per atom
* D(E_F): 2.1 states/eV/f.u.
* distance to the lowest polymorph of the same formula: 161 meV/atom

Unit cell a=3.2539 b=4.0429 c=4.0987 alpha=90.00 beta=90.00 gamma=90.00
Last column: nearest neighbours and their distance in Å.
Atoms (fractional coordinates):
Cu  0.0000  0.0000  0.0000  8 Si 2.59-2.62, 4 W 2.88
Si  0.5000  0.0000  0.5000  4 W 2.59, 4 Cu 2.62, 4 Si 2.88
Si  0.5000  0.5000  0.0000  4 Cu 2.59, 4 W 2.62, 4 Si 2.88
W  0.0000  0.5000  0.5000  8 Si 2.59-2.62, 4 Cu 2.88

***

Material: CuSi2W
Method: DFT, GGA-PBE
State: optimized geometry

Output
* space-group type: Immm (71)
* total magnetic moment: 0.000 μB/cell
* crystal system: orthorhombic
* raw formation energy: 0.07 eV per atom
* D(E_F): 1.6 states/eV/f.u.
* distance to the lowest polymorph of the same formula: 82 meV/atom

Unit cell a=4.6572 b=4.6572 c=4.6572 alpha=136.65 beta=127.93 gamma=70.01
Last column: nearest neighbours and their distance in Å.
Atoms (fractional coordinates):
Cu  0.0000  0.0000  0.0000  4 Si 2.52, 4 W 2.67
Si  0.2418  0.7418  0.5000  2 Cu 2.52, 4 W 2.62-2.75, 4 Si 2.67
Si  0.7582  0.2582  0.5000  2 Cu 2.52, 4 W 2.62-2.75, 4 Si 2.67
W  0.5000  0.5000  0.0000  8 Si 2.62-2.75, 4 Cu 2.67

***

Material: CuSi2W
Method: DFT, GGA-PBE
State: optimized geometry

Output
* space-group type: C2/m (12)
* total magnetic moment: 0.000 μB/cell
* crystal system: monoclinic
* raw formation energy: 0.16 eV per atom
* D(E_F): 1.9 states/eV/f.u.
* distance to the lowest polymorph of the same formula: 179 meV/atom

Unit cell a=4.4968 b=4.4968 c=4.8243 alpha=98.24 beta=98.24 gamma=35.07
Last column: nearest neighbours and their distance in Å.
Atoms (fractional coordinates):
Cu  0.0000  0.0000  0.0000  6 Si 2.59-2.70, 2 Cu 2.71, 4 W 2.77
Si  0.2454  0.2454  0.7469  3 Cu 2.59-2.70, 3 W 2.63-2.64, 6 Si 2.71-2.78
Si  0.7546  0.7546  0.2531  3 Cu 2.59-2.70, 3 W 2.63-2.64, 6 Si 2.71-2.78
W  0.5000  0.5000  0.5000  6 Si 2.63-2.64, 2 W 2.71, 4 Cu 2.77

***

Material: Cu2SiW
Method: DFT, GGA-PBE
State: optimized geometry

Output
* space-group type: P4/mmm (123)
* total magnetic moment: 0.000 μB/cell
* crystal system: tetragonal
* raw formation energy: 0.29 eV per atom
* D(E_F): 1.2 states/eV/f.u.

Unit cell a=2.9236 b=2.9236 c=6.1752 alpha=90.00 beta=90.00 gamma=90.00
Last column: nearest neighbours and their distance in Å.
Atoms (fractional coordinates):
Cu  0.0000  0.0000  0.2158  4 Si 2.46, 1 Cu 2.66, 4 W 2.71
Cu  0.0000  0.0000  0.7842  4 Si 2.46, 1 Cu 2.66, 4 W 2.71
Si  0.5000  0.5000  0.0000  8 Cu 2.46
W  0.5000  0.5000  0.5000  8 Cu 2.71, 4 W 2.92

***

Material: Cu2SiW
Method: DFT, GGA-PBE
State: optimized geometry

Output
* space-group type: P2/m (10)
* total magnetic moment: 0.000 μB/cell
* crystal system: monoclinic
* raw formation energy: 0.15 eV per atom
* D(E_F): 2.1 states/eV/f.u.

Unit cell a=2.7043 b=4.1928 c=4.8039 alpha=90.00 beta=100.05 gamma=90.00
Last column: nearest neighbours and their distance in Å.
Atoms (fractional coordinates):
Cu  0.1102  0.0000  0.2560  4 Cu 2.43-2.70, 2 Si 2.45
Cu  0.8898  0.0000  0.7440  4 Cu 2.43-2.70, 2 Si 2.45
Si  0.0000  0.5000  0.5000  4 Cu 2.45, 2 W 2.54, 2 Si 2.70
W  0.5000  0.5000  0.0000  2 Si 2.54, 2 W 2.70, 8 Cu 2.73-2.81

***

Material: CuSi2W
Method: DFT, GGA-PBE
State: optimized geometry

Output
* space-group type: Cmmm (65)
* total magnetic moment: 0.000 μB/cell
* crystal system: orthorhombic
* raw formation energy: 0.17 eV per atom
* D(E_F): 2.3 states/eV/f.u.
* distance to the lowest polymorph of the same formula: 191 meV/atom

Unit cell a=4.5217 b=4.5217 c=2.7340 alpha=90.00 beta=90.00 gamma=101.26
Last column: nearest neighbours and their distance in Å.
Atoms (fractional coordinates):
Cu  0.0000  0.0000  0.0000  8 Si 2.64, 2 Cu 2.73, 2 W 2.87
Si  0.0000  0.5000  0.5000  4 W 2.64, 4 Cu 2.64, 4 Si 2.73-2.87
Si  0.5000  0.0000  0.5000  4 W 2.64, 4 Cu 2.64, 4 Si 2.73-2.87
W  0.5000  0.5000  0.0000  8 Si 2.64, 2 W 2.73, 2 Cu 2.87

***

Material: CuSiW2
Method: DFT, GGA-PBE
State: optimized geometry

Output
* space-group type: P2/m (10)
* total magnetic moment: 0.000 μB/cell
* crystal system: monoclinic
* raw formation energy: 0.20 eV per atom
* D(E_F): 2.0 states/eV/f.u.

Unit cell a=2.7148 b=4.0763 c=5.3832 alpha=90.00 beta=104.54 gamma=90.00
Last column: nearest neighbours and their distance in Å.
Atoms (fractional coordinates):
Cu  0.0000  0.0000  0.0000  8 W 2.66-2.93, 2 Si 2.69, 2 Cu 2.71
Si  0.0000  0.0000  0.5000  4 W 2.59, 2 Cu 2.69, 2 Si 2.71
W  0.4755  0.5000  0.7443  2 Si 2.59, 2 Cu 2.66, 4 W 2.67-2.72
W  0.5245  0.5000  0.2557  2 Si 2.59, 2 Cu 2.66, 4 W 2.67-2.72